Below is a geometry-optimized RbTlSe2N structure, with properties calculated at the PBE level.

Results
For the formation energy without anion corrections, the calculation gives 52.6 kJ/mol of atoms. The value obtained for the energy above the most stable polymorph in this dataset is 0 meV per atom.

abc: 5.5978 5.5978 4.7730
angles: 90.00 90.00 90.00
Closest atoms and distances in Å follow each position.
Atoms (fractional coordinates):
Rb: 0.5000 0.5000 0.5000  8 Se 3.68, 4 N 3.96
N: 0.0000 0.0000 0.5000  2 Tl 2.39
Se: 0.5000 0.0000 0.0000  2 Tl 2.80
Se: 0.0000 0.5000 0.0000  2 Tl 2.80
Tl: 0.0000 0.0000 0.0000  2 N 2.39



Below is a geometry-optimized SrLa structure, with properties calculated at the PBE level.

Results
The calculation puts the energy relative to the elements at 0.1805 eV per atom. The value obtained for the energy above the most stable polymorph in this dataset is 119 meV per atom.

abc: 3.8908 6.2770 7.2589
angles: 90.00 90.00 90.00
Closest atoms and distances in Å follow each position.
Atoms (fractional coordinates):
La: 0.0000 0.5000 0.2937  4 La 3.64-3.89, 6 Sr 3.92-4.01
Sr: 0.5000 0.5000 0.8250  4 Sr 3.89, 8 La 3.92-4.32
La: 0.0000 0.0000 0.0396  4 La 3.64-3.89, 6 Sr 3.92-4.01
Sr: 0.5000 0.0000 0.5083  4 Sr 3.89, 8 La 3.92-4.32



Below is a geometry-optimized SrLi2CaCd2 structure, with properties calculated at the PBE level.

Results
The calculation puts the energy relative to the elements at -0.2086 eV per atom.

abc: 5.0089 5.0089 7.9209
angles: 90.00 90.00 120.00
Closest atoms and distances in Å follow each position.
Atoms (fractional coordinates):
Sr: 0.0000 0.0000 0.0000  6 Cd 3.67, 6 Li 3.70, 2 Ca 3.96
Li: 0.6667 0.3333 0.2921  3 Cd 2.89
Cd: 0.6667 0.3333 0.7150  3 Li 2.89
Cd: 0.3333 0.6667 0.2850  3 Li 2.89
Ca: 0.0000 0.0000 0.5000  6 Li 3.33, 6 Cd 3.36
Li: 0.3333 0.6667 0.7079  3 Cd 2.89



Below is a geometry-optimized Cs2LaNbCl6 structure, with properties calculated at the PBE level.

Results
For the formation energy without anion corrections, the calculation gives -158.4 kJ/mol of atoms.

abc: 7.5991 7.5991 7.5997
angles: 60.00 60.00 90.00
Closest atoms and distances in Å follow each position.
Atoms (fractional coordinates):
Cs: 0.2500 0.7500 0.5000  12 Cl 3.80
Cl: 0.2607 0.7393 0.0000  1 Nb 2.57, 1 La 2.80
Nb: 0.5000 0.5000 0.0000  6 Cl 2.57
Cl: 0.7393 0.7393 0.0000  1 Nb 2.57, 1 La 2.80
Cl: 0.2607 0.2607 0.0000  1 Nb 2.57, 1 La 2.80
Cl: 0.2607 0.2607 0.4786  1 Nb 2.57, 1 La 2.80
Cs: 0.7500 0.2500 0.5000  12 Cl 3.80
Cl: 0.7393 0.2607 0.0000  1 Nb 2.57, 1 La 2.80
Cl: 0.7393 0.7393 0.5214  1 Nb 2.57, 1 La 2.80
La: 0.0000 0.0000 0.0000  6 Cl 2.80



Below is a geometry-optimized Ba2LaBr structure, with properties calculated at the PBE level.

Results
For the formation energy without anion corrections, the calculation gives -45.6 kJ/mol of atoms. The value obtained for the energy above the most stable polymorph in this dataset is 174 meV per atom.

abc: 3.9053 3.9053 11.2725
angles: 90.00 90.00 90.00
Closest atoms and distances in Å follow each position.
Atoms (fractional coordinates):
Ba: 0.5000 0.5000 0.3022  4 Br 3.68, 4 Ba 3.91
Ba: 0.0000 0.0000 0.9822  4 Ba 3.91, 4 La 4.24
La: 0.5000 0.5000 0.6973  4 Br 3.42
Br: 0.0000 0.0000 0.5183  4 La 3.42, 4 Ba 3.68



Below is a geometry-optimized ScIr2Au structure, with properties calculated at the PBE level.

Results
The calculation puts the energy relative to the elements at -0.1844 eV per atom. The value obtained for the energy above the most stable polymorph in this dataset is 316 meV per atom.

abc: 4.5466 4.5466 4.5466
angles: 60.00 60.00 60.00
Closest atoms and distances in Å follow each position.
Atoms (fractional coordinates):
Au: 0.5000 0.5000 0.5000  8 Ir 2.78
Ir: 0.2500 0.2500 0.2500  4 Au 2.78, 4 Sc 2.78
Ir: 0.7500 0.7500 0.7500  4 Sc 2.78, 4 Au 2.78
Sc: 0.0000 0.0000 0.0000  8 Ir 2.78



Below is a geometry-optimized Be2MoAu structure, with properties calculated at the PBE level.

Results
The calculation puts the energy relative to the elements at 0.1175 eV per atom. The value obtained for the energy above the most stable polymorph in this dataset is 112 meV per atom.

abc: 4.7473 4.7473 4.4183
angles: 73.15 73.15 32.32
Closest atoms and distances in Å follow each position.
Atoms (fractional coordinates):
Mo: 0.4842 0.4842 0.5688  7 Be 2.50-2.66, 2 Mo 2.64
Au: 0.2656 0.2656 0.1875  7 Be 2.53-2.61, 2 Au 2.64
Be: 0.7284 0.7284 0.7147  4 Be 2.38-2.64, 3 Mo 2.50-2.59, 4 Au 2.58-2.61
Be: 0.0218 0.0218 0.0290  4 Be 2.38-2.64, 3 Au 2.53-2.59, 4 Mo 2.53-2.66



Below is a geometry-optimized Cu4AgPb structure, with properties calculated at the PBE level.

Results
The calculation puts the energy relative to the elements at 0.1050 eV per atom.

abc: 5.0791 5.0791 5.0791
angles: 60.00 60.00 60.00
Closest atoms and distances in Å follow each position.
Atoms (fractional coordinates):
Ag: 0.0000 0.0000 0.0000  12 Cu 2.98, 4 Pb 3.11
Cu: 0.1230 0.6257 0.6257  6 Cu 2.53-2.55
Cu: 0.6257 0.6257 0.1230  6 Cu 2.53-2.55
Cu: 0.6257 0.1230 0.6257  6 Cu 2.53-2.55
Cu: 0.6257 0.6257 0.6257  6 Cu 2.53-2.55
Pb: 0.2500 0.2500 0.2500  12 Cu 2.98, 4 Ag 3.11



Below is a geometry-optimized KNiAs3 structure, with properties calculated at the PBE level.

Results
The calculation puts the energy relative to the elements at 2.0271 eV per atom. The value obtained for the energy above the most stable polymorph in this dataset is 1876 meV per atom.

abc: 5.3728 5.3728 5.3728
angles: 90.00 90.00 90.00
Closest atoms and distances in Å follow each position.
Atoms (fractional coordinates):
As: 0.0000 0.0000 0.5000  2 K 2.69
As: 0.5000 0.0000 0.0000  2 K 2.69
K: 0.0000 0.0000 0.0000  6 As 2.69
As: 0.0000 0.5000 0.0000  2 K 2.69
Ni: 0.5000 0.5000 0.5000  12 As 3.80



Below is a geometry-optimized Pa2Zn4O9 structure, with properties calculated at the PBE level.

Results
For the formation energy without anion corrections, the calculation gives -220.0 kJ/mol of atoms.

abc: 5.3990 5.3983 15.0999
angles: 89.95 89.94 60.07
Closest atoms and distances in Å follow each position.
Atoms (fractional coordinates):
O: 0.6318 0.3445 0.5819  3 Zn 2.11-2.33, 1 Pa 2.11
O: 0.6564 0.9766 0.4185  1 Pa 2.11, 3 Zn 2.11-2.34
Zn: 0.6667 0.6666 0.0138  6 O 2.11-2.19
O: 0.6333 0.0230 0.0815  3 Zn 2.11-2.33, 1 Pa 2.11
O: 0.9770 0.3666 0.4186  1 Pa 2.11, 3 Zn 2.11-2.34
Zn: 0.6664 0.6663 0.3089  6 O 2.10-2.34
O: 0.0236 0.3435 0.0814  1 Pa 2.11, 3 Zn 2.11-2.34
Pa: 0.9996 0.0004 0.6385  6 O 2.11-2.33
O: 0.2991 0.9999 0.2499  2 Zn 2.10, 2 Pa 2.33
O: 0.0000 0.7008 0.2500  2 Zn 2.10, 2 Pa 2.33
O: 0.3682 0.6555 0.4181  3 Zn 2.11-2.33, 1 Pa 2.11
Zn: 0.3334 0.3333 0.4862  6 O 2.11-2.19
Zn: 0.3336 0.3337 0.6911  6 O 2.10-2.34
O: 0.3667 0.9770 0.9185  3 Zn 2.11-2.33, 1 Pa 2.11
O: 0.3436 0.0234 0.5815  1 Pa 2.11, 3 Zn 2.11-2.34
O: 0.6555 0.3682 0.9182  3 Zn 2.11-2.32, 1 Pa 2.11
Pa: 0.9997 0.0005 0.8616  6 O 2.11-2.33
O: 0.2983 0.7017 0.7501  2 Zn 2.10, 2 Pa 2.33
Zn: 0.3339 0.3334 0.1909  6 O 2.10-2.34
O: 0.9764 0.6565 0.9186  1 Pa 2.11, 3 Zn 2.11-2.34
O: 0.7017 0.2983 0.2499  2 Zn 2.10, 2 Pa 2.33
Zn: 0.3333 0.3334 0.9862  6 O 2.11-2.19
Pa: 0.0004 0.9996 0.3615  6 O 2.11-2.33
Zn: 0.6666 0.6667 0.5138  6 O 2.11-2.19
Pa: 0.0003 0.9995 0.1384  6 O 2.11-2.33
Zn: 0.6661 0.6666 0.8091  6 O 2.10-2.34
O: 0.0000 0.2992 0.7500  2 Zn 2.10, 2 Pa 2.33
O: 0.0230 0.6334 0.5814  1 Pa 2.11, 3 Zn 2.11-2.34
O: 0.7009 0.0001 0.7501  2 Zn 2.10, 2 Pa 2.33
O: 0.3445 0.6318 0.0818  3 Zn 2.11-2.32, 1 Pa 2.11



Below is a geometry-optimized Sm11Ga4Hg9 structure, with properties calculated at the PBE level.

Results
The calculation puts the energy relative to the elements at -0.4710 eV per atom.

abc: 3.8089 13.3172 13.3172
angles: 112.10 90.00 90.00
Closest atoms and distances in Å follow each position.
Atoms (fractional coordinates):
Sm: 0.0000 0.0000 0.0000  8 Hg 3.23
Hg: 0.5000 0.9396 0.7896  8 Sm 3.23-3.47, 1 Ga 3.29, 1 Hg 3.31
Sm: 0.0000 0.7127 0.7127  4 Ga 3.02
Hg: 0.5000 0.8466 0.3727  1 Ga 3.16, 8 Sm 3.25-3.41, 1 Hg 3.26
Ga: 0.5000 0.4502 0.2580  6 Sm 3.01-3.02, 3 Hg 3.04-3.29
Sm: 0.0000 0.9291 0.5882  2 Ga 3.02, 4 Hg 3.25-3.27
Sm: 0.0000 0.4118 0.0709  2 Ga 3.02, 4 Hg 3.25-3.27
Hg: 0.5000 0.2104 0.0604  8 Sm 3.23-3.47, 1 Ga 3.29, 1 Hg 3.31
Ga: 0.5000 0.7420 0.5498  6 Sm 3.01-3.02, 3 Hg 3.04-3.29
Sm: 0.0000 0.6342 0.3658  4 Ga 3.01
Hg: 0.5000 0.0604 0.2104  8 Sm 3.23-3.47, 1 Ga 3.29, 1 Hg 3.31
Hg: 0.5000 0.7896 0.9396  8 Sm 3.23-3.47, 1 Ga 3.29, 1 Hg 3.31
Sm: 0.0000 0.2873 0.2873  4 Ga 3.02
Sm: 0.0000 0.8305 0.1695  8 Hg 3.25-3.47, 2 Sm 3.59
Sm: 0.0000 0.5882 0.9291  2 Ga 3.02, 4 Hg 3.25-3.27
Sm: 0.0000 0.0709 0.4118  2 Ga 3.02, 4 Hg 3.25-3.27
Ga: 0.5000 0.2580 0.4502  6 Sm 3.01-3.02, 3 Hg 3.04-3.29
Hg: 0.5000 0.5000 0.5000  4 Ga 3.04
Hg: 0.5000 0.6273 0.1534  1 Ga 3.16, 8 Sm 3.25-3.41, 1 Hg 3.26
Ga: 0.5000 0.5498 0.7420  6 Sm 3.01-3.02, 3 Hg 3.04-3.29
Sm: 0.0000 0.3658 0.6342  4 Ga 3.01
Hg: 0.5000 0.1534 0.6273  1 Ga 3.16, 8 Sm 3.25-3.41, 1 Hg 3.26
Sm: 0.0000 0.1695 0.8305  8 Hg 3.25-3.47, 2 Sm 3.59
Hg: 0.5000 0.3727 0.8466  1 Ga 3.16, 8 Sm 3.25-3.41, 1 Hg 3.26



Below is a geometry-optimized SmSi structure, with properties calculated at the PBE level.

Results
For the formation energy without anion corrections, the calculation gives -76.6 kJ/mol of atoms.

abc: 3.9075 5.8376 8.1293
angles: 90.00 90.00 90.00
Closest atoms and distances in Å follow each position.
Atoms (fractional coordinates):
Sm: 0.7500 0.3855 0.8201  7 Si 3.03-3.21
Sm: 0.7500 0.1145 0.3201  7 Si 3.03-3.21
Si: 0.7500 0.8759 0.9640  2 Si 2.50
Si: 0.2500 0.1241 0.0360  2 Si 2.50
Sm: 0.2500 0.6145 0.1799  7 Si 3.03-3.21
Si: 0.2500 0.3759 0.5360  2 Si 2.50
Sm: 0.2500 0.8855 0.6799  7 Si 3.03-3.21
Si: 0.7500 0.6241 0.4640  2 Si 2.50



Below is a geometry-optimized ZnInAu2 structure, with properties calculated at the PBE level.

Results
The calculation puts the energy relative to the elements at -0.1182 eV per atom.

abc: 4.4821 4.4821 5.3214
angles: 75.18 75.18 51.50
Closest atoms and distances in Å follow each position.
Atoms (fractional coordinates):
In: 0.2500 0.2500 0.2500  6 Au 2.79-2.95
Au: 0.4896 0.4896 0.5378  3 Zn 2.65-2.75, 3 In 2.79-2.95
Zn: 0.7500 0.7500 0.7500  6 Au 2.65-2.75
Au: 0.0104 0.0104 0.9622  3 Zn 2.65-2.75, 3 In 2.79-2.95



Below is a geometry-optimized Mn2TcTe structure, with properties calculated at the PBE level.

Results
For the formation energy without anion corrections, the calculation gives 36.8 kJ/mol of atoms.

abc: 5.0396 5.0396 4.3103
angles: 64.60 64.60 38.07
Closest atoms and distances in Å follow each position.
Atoms (fractional coordinates):
Tc: 0.2500 0.2500 0.2500  8 Mn 2.70-3.01, 4 Te 2.71
Mn: 0.0023 0.0023 0.9977  2 Te 2.67, 2 Tc 2.70, 4 Mn 2.71
Mn: 0.4977 0.4977 0.5023  2 Te 2.67, 2 Tc 2.70, 4 Mn 2.71
Te: 0.7500 0.7500 0.7500  4 Mn 2.67, 4 Tc 2.71



Below is a geometry-optimized V2Ga2Pd structure, with properties calculated at the PBE level.

Results
The calculation puts the energy relative to the elements at -0.1357 eV per atom. The value obtained for the energy above the most stable polymorph in this dataset is 0 meV per atom.

abc: 6.4024 6.4024 3.6474
angles: 90.00 90.00 90.00
Closest atoms and distances in Å follow each position.
Atoms (fractional coordinates):
Ga: 0.3582 0.8582 0.0000  2 Pd 2.47, 1 Ga 2.57, 6 V 2.61-2.62
Ga: 0.6418 0.1418 0.0000  2 Pd 2.47, 1 Ga 2.57, 6 V 2.61-2.62
Pd: 0.0000 0.0000 0.0000  4 Ga 2.47
V: 0.1525 0.6525 0.5000  6 Ga 2.61-2.62, 1 V 2.76
V: 0.8475 0.3475 0.5000  6 Ga 2.61-2.62, 1 V 2.76
Ga: 0.1418 0.3582 0.0000  2 Pd 2.47, 1 Ga 2.57, 6 V 2.61-2.62
Ga: 0.8582 0.6418 0.0000  2 Pd 2.47, 1 Ga 2.57, 6 V 2.61-2.62
Pd: 0.5000 0.5000 0.0000  4 Ga 2.47
V: 0.6525 0.8475 0.5000  6 Ga 2.61-2.62, 1 V 2.76
V: 0.3475 0.1525 0.5000  6 Ga 2.61-2.62, 1 V 2.76



Below is a geometry-optimized Mg3PaIr4 structure, with properties calculated at the PBE level.

Results
The calculation puts the energy relative to the elements at -0.5769 eV per atom.

abc: 4.3779 4.3779 7.6308
angles: 106.72 106.67 90.00
Closest atoms and distances in Å follow each position.
Atoms (fractional coordinates):
Pa: 0.5000 0.0000 0.0000  8 Ir 2.83, 4 Mg 3.10
Ir: 0.8714 0.8716 0.7429  6 Mg 2.75-2.83, 2 Pa 2.83
Mg: 0.7521 0.2519 0.5041  8 Ir 2.75-2.79
Ir: 0.6286 0.6280 0.2571  6 Mg 2.75-2.83, 2 Pa 2.83
Ir: 0.3714 0.3720 0.7429  6 Mg 2.75-2.83, 2 Pa 2.83
Ir: 0.1286 0.1284 0.2571  6 Mg 2.75-2.83, 2 Pa 2.83
Mg: 0.0000 0.5000 0.0000  8 Ir 2.83, 4 Pa 3.10
Mg: 0.2479 0.7481 0.4959  8 Ir 2.75-2.79



Below is a geometry-optimized LiTiIO2 structure, with properties calculated at the PBE level.

Results
For the formation energy without anion corrections, the calculation gives -174.5 kJ/mol of atoms. The value obtained for the energy above the most stable polymorph in this dataset is 0 meV per atom.

abc: 3.8443 3.8443 5.9254
angles: 90.00 90.00 90.00
Closest atoms and distances in Å follow each position.
Atoms (fractional coordinates):
I: 0.0000 0.0000 0.5000  4 Li 2.72, 2 Ti 2.96
Ti: 0.0000 0.0000 0.0000  4 O 1.92
O: 0.5000 0.0000 0.0000  2 Ti 1.92
O: 0.0000 0.5000 0.0000  2 Ti 1.92
Li: 0.5000 0.5000 0.5000  4 I 2.72



Below is a geometry-optimized PuAsW structure, with properties calculated at the PBE level.

Results
The calculation puts the energy relative to the elements at 0.0750 eV per atom.

abc: 3.3488 3.3528 12.3586
angles: 90.00 90.00 119.96
Closest atoms and distances in Å follow each position.
Atoms (fractional coordinates):
W: 0.5985 0.1971 0.0000  6 As 2.55
Pu: 0.6007 0.2013 0.3186  1 W 2.72, 3 As 2.98-2.99
W: 0.3357 0.6714 0.5000  2 Pu 2.72
Pu: 0.6007 0.2013 0.6814  1 W 2.72, 3 As 2.98-2.99
As: 0.2655 0.5310 0.8650  3 W 2.55
As: 0.2655 0.5310 0.1350  3 W 2.55



Below is a geometry-optimized NbTlO3F structure, with properties calculated at the PBE level.

Results
For the formation energy without anion corrections, the calculation gives -170.5 kJ/mol of atoms.

abc: 5.4604 8.2604 8.0657
angles: 59.20 73.52 56.36
Closest atoms and distances in Å follow each position.
Atoms (fractional coordinates):
Tl: 0.2500 0.4204 0.1592  1 F 2.33, 2 O 2.47
F: 0.7500 0.4111 0.1778  1 Tl 2.33
O: 0.2500 0.8178 0.3645  1 Nb 1.76
Nb: 0.7500 0.0555 0.8891  1 O 1.76
O: 0.1252 0.7997 0.0382  2 Nb 2.02-2.03
O: 0.6252 0.8379 0.9618  2 Nb 2.02-2.03
O: 0.3748 0.1621 0.0382  2 Nb 2.02-2.03
Tl: 0.7500 0.5796 0.8408  1 F 2.33, 2 O 2.47
Nb: 0.2500 0.9445 0.1109  1 O 1.76
F: 0.2500 0.5889 0.8222  1 Tl 2.33
O: 0.8748 0.2003 0.9618  2 Nb 2.02-2.03
O: 0.7500 0.1822 0.6355  1 Nb 1.76



Below is a geometry-optimized HfSc3Tl3Se8 structure, with properties calculated at the PBE level.

Results
For the formation energy without anion corrections, the calculation gives -124.4 kJ/mol of atoms.

abc: 7.8252 7.8261 9.0537
angles: 115.60 90.00 120.02
Closest atoms and distances in Å follow each position.
Atoms (fractional coordinates):
Se: 0.7319 0.4632 0.6939  3 Sc 2.72-2.73
Se: 0.2652 0.0354 0.3059  1 Hf 2.71, 2 Sc 2.73
Sc: 0.5000 0.5000 0.5000  6 Se 2.72-2.73
Se: 0.7700 0.0351 0.3058  1 Hf 2.71, 2 Sc 2.73-2.74
Tl: 0.5000 0.5000 0.0000  6 Se 3.29-3.30
Tl: 0.0000 0.5000 0.0000  6 Se 3.29-3.30
Se: 0.2299 0.4595 0.6944  1 Hf 2.71, 2 Sc 2.73-2.74
Se: 0.2681 0.5368 0.3061  3 Sc 2.72-2.73
Se: 0.7701 0.5405 0.3056  1 Hf 2.71, 2 Sc 2.73-2.74
Se: 0.7348 0.9646 0.6941  1 Hf 2.71, 2 Sc 2.73
Se: 0.2300 0.9649 0.6942  1 Hf 2.71, 2 Sc 2.73-2.74
Sc: 0.5000 0.0000 0.5000  6 Se 2.73
Tl: 0.0000 0.0000 0.0000  6 Se 3.29
Sc: 0.0000 0.5000 0.5000  6 Se 2.72-2.74
Hf: 0.0000 0.0000 0.5000  6 Se 2.71